Material: CrHgIF2
Method: DFT, GGA+U
State: optimized geometry

a = 4.183 Å, b = 4.183 Å, c = 6.598 Å
α = 90.00°, β = 90.00°, γ = 90.00°
Space group P4/mmm (No. 123)
Symmetry-distinct sites (fractional):
Cr 0.000 0.000 0.000 [1 per cell]
Hg 0.500 0.500 0.500 [1 per cell]
I 0.000 0.000 0.500 [1 per cell]
F 0.000 0.500 0.000 [2 per cell]

Results
N(E_F)   0.12 states/eV/atom
Theoretical density   6.0 g/cm3
DFT total energy   -4.073 eV/atom